1.
This record from the Alexandria database describes a relaxed MgSc2HgC crystal. The functional is GGA-PBE. Values from VASP.

```
&SYSTEM
  ibrav = 0, nat = 5, ntyp = 4
/
ATOMIC_SPECIES
Sc 44.96 Sc.upf
C 12.01 C.upf
Mg 24.30 Mg.upf
Hg 200.59 Hg.upf
CELL_PARAMETERS angstrom
4.519 0.000 0.000
0.000 4.519 0.000
0.000 0.000 4.478
ATOMIC_POSITIONS crystal
Sc 0.000 0.500 0.000
Sc 0.500 0.000 0.000
C 0.000 0.000 0.000
Mg 0.000 0.000 0.500
Hg 0.500 0.500 0.500
```

=====

2.
This record from the Alexandria database describes a relaxed MgTi2HgC crystal. The functional is GGA-PBE. Values from VASP.

```
&SYSTEM
  ibrav = 0, nat = 5, ntyp = 4
/
ATOMIC_SPECIES
C 12.01 C.upf
Mg 24.30 Mg.upf
Hg 200.59 Hg.upf
Ti 47.87 Ti.upf
CELL_PARAMETERS angstrom
4.228 0.000 0.000
0.000 4.228 0.000
0.000 0.000 4.385
ATOMIC_POSITIONS crystal
C 0.000 0.000 0.000
Mg 0.000 0.000 0.500
Hg 0.500 0.500 0.500
Ti 0.000 0.500 0.000
Ti 0.500 0.000 0.000
```

=====

3.
This record from the Alexandria database describes a relaxed MgTlHgC2 crystal. The functional is GGA-PBE. Values from VASP.

```
&SYSTEM
  ibrav = 0, nat = 5, ntyp = 4
/
ATOMIC_SPECIES
Mg 24.30 Mg.upf
C 12.01 C.upf
Tl 204.38 Tl.upf
Hg 200.59 Hg.upf
CELL_PARAMETERS angstrom
-0.608 -2.659 -3.304
5.975 -0.988 -0.304
-0.405 -3.286 2.719
ATOMIC_POSITIONS crystal
Mg 0.500 0.500 0.500
C 0.000 0.000 0.500
C 0.500 0.000 0.000
Tl 0.000 0.500 0.000
Hg 0.000 0.000 0.000
```

=====

4.
This record from the Alexandria database describes a relaxed MgVHg2C crystal. The functional is GGA-PBE. Values from VASP.

```
&SYSTEM
  ibrav = 0, nat = 5, ntyp = 4
/
ATOMIC_SPECIES
C 12.01 C.upf
Mg 24.30 Mg.upf
Hg 200.59 Hg.upf
V 50.94 V.upf
CELL_PARAMETERS angstrom
5.154 0.000 0.000
0.000 3.977 0.000
0.000 0.000 5.154
ATOMIC_POSITIONS crystal
C 0.000 0.500 0.000
Mg 0.000 0.000 0.000
Hg 0.000 0.000 0.500
Hg 0.500 0.000 0.000
V 0.500 0.500 0.500
```

=====

5.
This record from the Alexandria database describes a relaxed YMg2HgC crystal. The functional is GGA-PBE. Values from VASP.

```
&SYSTEM
  ibrav = 0, nat = 5, ntyp = 4
/
ATOMIC_SPECIES
Y 88.91 Y.upf
C 12.01 C.upf
Mg 24.30 Mg.upf
Hg 200.59 Hg.upf
CELL_PARAMETERS angstrom
4.485 0.000 0.000
0.000 4.485 0.000
0.000 0.000 4.919
ATOMIC_POSITIONS crystal
Y 0.000 0.000 0.500
C 0.000 0.000 0.000
Mg 0.000 0.500 0.000
Mg 0.500 0.000 0.000
Hg 0.500 0.500 0.500
```

=====

6.
This record from the Alexandria database describes a relaxed Y2MgHgC crystal. The functional is GGA-PBE. Values from VASP.

```
&SYSTEM
  ibrav = 0, nat = 5, ntyp = 4
/
ATOMIC_SPECIES
Y 88.91 Y.upf
C 12.01 C.upf
Mg 24.30 Mg.upf
Hg 200.59 Hg.upf
CELL_PARAMETERS angstrom
-3.834 0.885 3.039
2.462 -1.112 3.431
1.470 4.725 0.477
ATOMIC_POSITIONS crystal
Y 0.000 0.000 0.500
Y 0.500 0.000 0.000
C 0.000 0.000 0.000
Mg 0.000 0.500 0.000
Hg 0.500 0.500 0.500
```

=====

| no. | total moment (Bohr magnetons per cell) | E (eV per atom) | energy relative to the elements (eV per atom) |
| --- | --- | --- | --- |
| 1 | 0.000 | -5.13 | -0.370 |
| 2 | 0.000 | -5.66 | -0.275 |
| 3 | 0.853 | -2.28 | 2.258 |
| 4 | 0.039 | -2.51 | 1.602 |
| 5 | 0.000 | -3.95 | -0.118 |
| 6 | 0.000 | -5.11 | -0.302 |